5
Lattice="5.160 0.000 0.000 0.000 5.160 0.000 0.000 0.000 4.327" Properties=species:S:1:pos:R:3 comment="La2CrWO (PBE with a Hubbard U, optimized geometry)" relative_energy_kcal_per_mol_atoms=0.00 magnetic_moment_mub_per_fu=6.61 pbc="T T T"
La 0.000 2.580 0.000
La 2.580 0.000 0.000
Cr 0.000 0.000 2.163
W 2.580 2.580 2.163
O 2.580 2.580 0.000